# 1
{
  "formula": "CdW3",
  "functional": "PBE",
  "state": "relaxed",
  "ef_mev_per_atom": 654.7,
  "rho_g_cm3": 16.2,
  "spacegroup": "Pnma, No. 62",
  "lattice": [[5.1320, 0.0000, 0.0000], [0.0000, 9.3563, 0.0000], [0.0000, 0.0000, 5.6866]],
  "species": ["Cd", "Cd", "Cd", "Cd", "W", "W", "W", "W", "W", "W", "W", "W", "W", "W", "W", "W"],
  "fractional_positions": [[0.0627, 0.2500, 0.1228], [0.4373, 0.7500, 0.6228], [0.5627, 0.2500, 0.3772], [0.9373, 0.7500, 0.8772], [0.0630, 0.2500, 0.6210], [0.2477, 0.0088, 0.8480], [0.2477, 0.4912, 0.8480], [0.2523, 0.5088, 0.3480], [0.2523, 0.9912, 0.3480], [0.4370, 0.7500, 0.1210], [0.5630, 0.2500, 0.8790], [0.7477, 0.0088, 0.6520], [0.7477, 0.4912, 0.6520], [0.7523, 0.5088, 0.1520], [0.7523, 0.9912, 0.1520], [0.9370, 0.7500, 0.3790]]
}



# 2
{
  "formula": "Mg5Tl2Hg",
  "functional": "PBE",
  "state": "relaxed",
  "ef_mev_per_atom": -62.5,
  "rho_g_cm3": 6.5,
  "spacegroup": "I4/mmm, No. 139",
  "lattice": [[-2.4210, 2.4210, 7.9657], [2.4210, -2.4210, 7.9657], [2.4210, 2.4210, -7.9657]],
  "species": ["Mg", "Mg", "Mg", "Mg", "Mg", "Tl", "Tl", "Hg"],
  "fractional_positions": [[0.0000, 0.0000, 0.0000], [0.1194, 0.6194, 0.5000], [0.3806, 0.8806, 0.5000], [0.6194, 0.1194, 0.5000], [0.8806, 0.3806, 0.5000], [0.2473, 0.2473, 0.0000], [0.7527, 0.7527, 0.0000], [0.5000, 0.5000, 0.0000]]
}



# 3
{
  "formula": "Ca3TiAl",
  "functional": "PBE",
  "state": "relaxed",
  "ef_mev_per_atom": 883.7,
  "rho_g_cm3": 1.7,
  "spacegroup": "Pm-3m, No. 221",
  "lattice": [[5.7162, 0.0000, 0.0000], [0.0000, 5.7162, 0.0000], [0.0000, 0.0000, 5.7162]],
  "species": ["Ca", "Ca", "Ca", "Ti", "Al"],
  "fractional_positions": [[0.0000, 0.0000, 0.5000], [0.0000, 0.5000, 0.0000], [0.5000, 0.0000, 0.0000], [0.0000, 0.0000, 0.0000], [0.5000, 0.5000, 0.5000]]
}



# 4
{
  "formula": "MgCo3Tc",
  "functional": "PBE",
  "state": "relaxed",
  "ef_mev_per_atom": 1110.3,
  "rho_g_cm3": 5.7,
  "spacegroup": "Pm-3m, No. 221",
  "lattice": [[4.4287, 0.0000, 0.0000], [0.0000, 4.4287, 0.0000], [0.0000, 0.0000, 4.4287]],
  "species": ["Mg", "Co", "Co", "Co", "Tc"],
  "fractional_positions": [[0.0000, 0.0000, 0.0000], [0.0000, 0.5000, 0.5000], [0.5000, 0.0000, 0.5000], [0.5000, 0.5000, 0.0000], [0.5000, 0.5000, 0.5000]]
}



# 5
{
  "formula": "PaZnCdIr",
  "functional": "PBE",
  "state": "relaxed",
  "ef_mev_per_atom": -210.2,
  "rho_g_cm3": 12.7,
  "spacegroup": "F-43m, No. 216",
  "lattice": [[0.0000, 3.3968, 3.3968], [3.3968, 0.0000, 3.3968], [3.3968, 3.3968, 0.0000]],
  "species": ["Pa", "Zn", "Cd", "Ir"],
  "fractional_positions": [[0.0000, 0.0000, 0.0000], [0.7500, 0.7500, 0.7500], [0.5000, 0.5000, 0.5000], [0.2500, 0.2500, 0.2500]]
}



# 6
{
  "formula": "SrY2Pb",
  "functional": "PBE",
  "state": "relaxed",
  "ef_mev_per_atom": -197.1,
  "rho_g_cm3": 5.7,
  "spacegroup": "P4mm, No. 99",
  "lattice": [[3.7742, 0.0000, 0.0000], [0.0000, 3.7742, 0.0000], [0.0000, 0.0000, 9.7002]],
  "species": ["Sr", "Y", "Y", "Pb"],
  "fractional_positions": [[0.0000, 0.0000, 0.0000], [0.0000, 0.0000, 0.5518], [0.5000, 0.5000, 0.3107], [0.5000, 0.5000, 0.7594]]
}



# 7
{
  "formula": "La3Tb4CeSe8",
  "functional": "PBE",
  "state": "relaxed",
  "rho_g_cm3": 7.3,
  "spacegroup": "R-3m, No. 166",
  "e_form_raw_ev_per_atom": -1.87,
  "lattice": [[4.1784, 2.4124, 6.8904], [-4.1784, 2.4124, 6.8904], [0.0000, -4.8249, 6.8904]],
  "species": ["La", "La", "La", "Tb", "Tb", "Tb", "Tb", "Ce", "Se", "Se", "Se", "Se", "Se", "Se", "Se", "Se"],
  "fractional_positions": [[0.0000, 0.5000, 0.5000], [0.5000, 0.0000, 0.5000], [0.5000, 0.5000, 0.0000], [0.0000, 0.0000, 0.5000], [0.0000, 0.5000, 0.0000], [0.5000, 0.0000, 0.0000], [0.5000, 0.5000, 0.5000], [0.0000, 0.0000, 0.0000], [0.2420, 0.7467, 0.7467], [0.2443, 0.2443, 0.2443], [0.2533, 0.2533, 0.7580], [0.2533, 0.7580, 0.2533], [0.7467, 0.2420, 0.7467], [0.7467, 0.7467, 0.2420], [0.7557, 0.7557, 0.7557], [0.7580, 0.2533, 0.2533]]
}



# 8
{
  "formula": "Na5Pm3Sn12",
  "functional": "PBE",
  "state": "relaxed",
  "ef_mev_per_atom": -61.6,
  "rho_g_cm3": 4.0,
  "spacegroup": "Ia-3d, No. 230",
  "lattice": [[-9.3400, 9.3400, 9.3400], [9.3400, -9.3400, 9.3400], [9.3400, 9.3400, -9.3400]],
  "species": ["Na", "Na", "Na", "Na", "Na", "Na", "Na", "Na", "Na", "Na", "Na", "Na", "Na", "Na", "Na", "Na", "Na", "Na", "Na", "Na", "Pm", "Pm", "Pm", "Pm", "Pm", "Pm", "Pm", "Pm", "Pm", "Pm", "Pm", "Pm", "Sn", "Sn", "Sn", "Sn", "Sn", "Sn", "Sn", "Sn", "Sn", "Sn", "Sn", "Sn", "Sn", "Sn", "Sn", "Sn", "Sn", "Sn", "Sn", "Sn", "Sn", "Sn", "Sn", "Sn", "Sn", "Sn", "Sn", "Sn", "Sn", "Sn", "Sn", "Sn", "Sn", "Sn", "Sn", "Sn", "Sn", "Sn", "Sn", "Sn", "Sn", "Sn", "Sn", "Sn", "Sn", "Sn", "Sn", "Sn"],
  "fractional_positions": [[0.0000, 0.0000, 0.0000], [0.0000, 0.0000, 0.5000], [0.0000, 0.5000, 0.0000], [0.0000, 0.5000, 0.5000], [0.1250, 0.7500, 0.8750], [0.1250, 0.8750, 0.2500], [0.2500, 0.1250, 0.8750], [0.2500, 0.6250, 0.3750], [0.3750, 0.2500, 0.6250], [0.3750, 0.6250, 0.7500], [0.5000, 0.0000, 0.0000], [0.5000, 0.0000, 0.5000], [0.5000, 0.5000, 0.0000], [0.5000, 0.5000, 0.5000], [0.6250, 0.3750, 0.2500], [0.6250, 0.7500, 0.3750], [0.7500, 0.3750, 0.6250], [0.7500, 0.8750, 0.1250], [0.8750, 0.1250, 0.7500], [0.8750, 0.2500, 0.1250], [0.1250, 0.2500, 0.3750], [0.1250, 0.3750, 0.7500], [0.2500, 0.3750, 0.1250], [0.2500, 0.8750, 0.6250], [0.3750, 0.1250, 0.2500], [0.3750, 0.7500, 0.1250], [0.6250, 0.2500, 0.8750], [0.6250, 0.8750, 0.7500], [0.7500, 0.1250, 0.3750], [0.7500, 0.6250, 0.8750], [0.8750, 0.6250, 0.2500], [0.8750, 0.7500, 0.6250], [0.0648, 0.7233, 0.6366], [0.0648, 0.8414, 0.4282], [0.0718, 0.6586, 0.4352], [0.0718, 0.9132, 0.6366], [0.0868, 0.2233, 0.1586], [0.0868, 0.3634, 0.9282], [0.1366, 0.2233, 0.5648], [0.1366, 0.4132, 0.5718], [0.1586, 0.0868, 0.2233], [0.1586, 0.5718, 0.9352], [0.2233, 0.1586, 0.0868], [0.2233, 0.5648, 0.1366], [0.2767, 0.3634, 0.9352], [0.2767, 0.4132, 0.3414], [0.3414, 0.2767, 0.4132], [0.3414, 0.5648, 0.9282], [0.3634, 0.9282, 0.0868], [0.3634, 0.9352, 0.2767], [0.4132, 0.3414, 0.2767], [0.4132, 0.5718, 0.1366], [0.4282, 0.0648, 0.8414], [0.4282, 0.8634, 0.5868], [0.4352, 0.0718, 0.6586], [0.4352, 0.8634, 0.7767], [0.5648, 0.1366, 0.2233], [0.5648, 0.9282, 0.3414], [0.5718, 0.1366, 0.4132], [0.5718, 0.9352, 0.1586], [0.5868, 0.4282, 0.8634], [0.5868, 0.6586, 0.7233], [0.6366, 0.0648, 0.7233], [0.6366, 0.0718, 0.9132], [0.6586, 0.4352, 0.0718], [0.6586, 0.7233, 0.5868], [0.7233, 0.5868, 0.6586], [0.7233, 0.6366, 0.0648], [0.7767, 0.4352, 0.8634], [0.7767, 0.8414, 0.9132], [0.8414, 0.4282, 0.0648], [0.8414, 0.9132, 0.7767], [0.8634, 0.5868, 0.4282], [0.8634, 0.7767, 0.4352], [0.9132, 0.6366, 0.0718], [0.9132, 0.7767, 0.8414], [0.9282, 0.0868, 0.3634], [0.9282, 0.3414, 0.5648], [0.9352, 0.1586, 0.5718], [0.9352, 0.2767, 0.3634]]
}